No. 1
# SiSbTe2Mo

A relaxed SiSbTe2Mo crystal (GGA-PBE, Alexandria via LeMat-Bulk).

Output
* formation energy (no corrections): 104 kJ per mole of atoms
* ΔE to the lowest computed polymorph: 111 kJ/mol of formula units

Structure (POSCAR):
```
SiSbTe2Mo
1.0
5.192 0.000 0.000
0.000 5.192 0.000
0.000 0.000 5.159
Si Sb Te Mo
1 1 2 1
Direct
0.000 0.000 0.000 Si
0.000 0.000 0.500 Sb
0.000 0.500 0.000 Te
0.500 0.000 0.000 Te
0.500 0.500 0.500 Mo
```



No. 2
# Nd12MgAl6

A relaxed Nd12MgAl6 crystal (GGA-PBE, Alexandria via LeMat-Bulk).

Output
* ΔE_f: -0.01 eV/atom

Structure (POSCAR):
```
Nd12MgAl6
1.0
7.189 4.151 3.217
-7.189 4.151 3.217
0.000 -8.301 3.217
Nd Mg Al
12 1 6
Direct
0.094 0.425 0.170 Nd
0.150 0.464 0.624 Nd
0.170 0.094 0.425 Nd
0.376 0.850 0.536 Nd
0.425 0.170 0.094 Nd
0.464 0.624 0.150 Nd
0.536 0.376 0.850 Nd
0.575 0.830 0.906 Nd
0.624 0.150 0.464 Nd
0.830 0.906 0.575 Nd
0.850 0.536 0.376 Nd
0.906 0.575 0.830 Nd
0.500 0.500 0.500 Mg
0.151 0.249 0.841 Al
0.159 0.849 0.751 Al
0.249 0.841 0.151 Al
0.751 0.159 0.849 Al
0.841 0.151 0.249 Al
0.849 0.751 0.159 Al
```



No. 3
# PrTl2

A relaxed PrTl2 crystal (GGA-PBE, Alexandria via LeMat-Bulk).

Output
* ΔE_f: -0.29 eV/atom

Structure (POSCAR):
```
PrTl2
1.0
5.511 0.000 0.000
-2.755 4.773 0.000
0.000 0.000 6.745
Pr Tl
2 4
Direct
0.333 0.667 0.250 Pr
0.667 0.333 0.750 Pr
0.000 0.000 0.000 Tl
0.000 0.000 0.500 Tl
0.333 0.667 0.750 Tl
0.667 0.333 0.250 Tl
```



No. 4
# La4SnTe2P

A relaxed La4SnTe2P crystal (GGA-PBE, Alexandria via LeMat-Bulk).

Output
* formation energy (no corrections): -137 kJ per mole of atoms

Structure (POSCAR):
```
La4SnTe2P
1.0
7.819 0.000 0.000
0.000 4.510 0.000
-2.604 0.000 7.476
La Sn Te P
4 1 2 1
Direct
0.232 0.000 0.224 La
0.245 0.500 0.766 La
0.755 0.500 0.234 La
0.768 0.000 0.776 La
0.500 0.000 0.000 Sn
0.000 0.000 0.500 Te
0.500 0.500 0.500 Te
0.000 0.500 0.000 P
```



No. 5
# BC2

A relaxed BC2 crystal (GGA-PBE, Alexandria via LeMat-Bulk).

Output
* ΔE_f: 0.27 eV/atom
* ΔE to the lowest computed polymorph: 10 kJ/mol of formula units

Structure (POSCAR):
```
BC2
1.0
2.488 0.000 0.000
0.000 2.524 0.000
0.000 0.000 12.125
B C
4 8
Direct
0.000 0.000 0.000 B
0.000 0.000 0.359 B
0.000 0.500 0.608 B
0.500 0.000 0.111 B
0.000 0.000 0.695 C
0.000 0.500 0.269 C
0.000 0.500 0.915 C
0.500 0.000 0.449 C
0.500 0.000 0.765 C
0.500 0.500 0.200 C
0.500 0.500 0.517 C
0.500 0.500 0.845 C
```



No. 6
# Tb2Ho5Tm6

A relaxed Tb2Ho5Tm6 crystal (GGA-PBE, Alexandria via LeMat-Bulk).

Output
* ΔE_f: 0.10 eV/atom

Structure (POSCAR):
```
Tb2Ho5Tm6
1.0
11.484 0.000 0.000
0.000 19.955 0.000
0.000 0.000 3.527
Tb Ho Tm
4 10 12
Direct
0.168 0.211 0.000 Tb
0.332 0.711 0.000 Tb
0.668 0.289 0.000 Tb
0.832 0.789 0.000 Tb
0.000 0.500 0.500 Ho
0.089 0.773 0.500 Ho
0.199 0.049 0.500 Ho
0.301 0.549 0.500 Ho
0.411 0.273 0.500 Ho
0.500 0.000 0.500 Ho
0.589 0.727 0.500 Ho
0.699 0.451 0.500 Ho
0.801 0.951 0.500 Ho
0.911 0.227 0.500 Ho
0.059 0.919 0.000 Tm
0.082 0.631 0.000 Tm
0.174 0.366 0.500 Tm
0.326 0.866 0.500 Tm
0.418 0.131 0.000 Tm
0.441 0.419 0.000 Tm
0.559 0.581 0.000 Tm
0.582 0.869 0.000 Tm
0.674 0.134 0.500 Tm
0.826 0.634 0.500 Tm
0.918 0.369 0.000 Tm
0.941 0.081 0.000 Tm
```



No. 7
# BeIn2Cl

A relaxed BeIn2Cl crystal (GGA-PBE, Alexandria via LeMat-Bulk).

Output
* formation energy (no corrections): -5 kJ per mole of atoms
* ΔE to the lowest computed polymorph: 29 kJ/mol of formula units

Structure (POSCAR):
```
BeIn2Cl
1.0
-1.576 2.965 4.988
1.576 -2.965 4.988
1.576 2.965 -4.988
Be In Cl
1 2 1
Direct
0.000 0.000 0.000 Be
0.470 0.470 0.000 In
0.780 0.280 0.500 In
0.136 0.636 0.500 Cl
```



No. 8
# YTm3Pd6

A relaxed YTm3Pd6 crystal (GGA-PBE, Alexandria via LeMat-Bulk).

Output
* ΔE_f: -0.88 eV/atom

Structure (POSCAR):
```
YTm3Pd6
1.0
8.281 0.000 0.000
0.000 4.863 0.000
-2.903 0.000 9.821
Y Tm Pd
2 6 12
Direct
0.064 0.250 0.386 Y
0.936 0.750 0.614 Y
0.213 0.250 0.015 Tm
0.358 0.750 0.808 Tm
0.477 0.250 0.613 Tm
0.523 0.750 0.387 Tm
0.642 0.250 0.192 Tm
0.787 0.750 0.985 Tm
0.079 0.750 0.902 Pd
0.147 0.750 0.202 Pd
0.161 0.250 0.704 Pd
0.252 0.750 0.517 Pd
0.366 0.250 0.305 Pd
0.447 0.750 0.094 Pd
0.553 0.250 0.906 Pd
0.634 0.750 0.695 Pd
0.748 0.250 0.483 Pd
0.839 0.750 0.296 Pd
0.853 0.250 0.798 Pd
0.921 0.250 0.098 Pd
```



No. 9
# Fe7Pd2Rh3

A relaxed Fe7Pd2Rh3 crystal (GGA-PBE, Alexandria via LeMat-Bulk).

Output
* ΔE_f: 0.20 eV/atom

Structure (POSCAR):
```
Fe7Pd2Rh3
1.0
2.095 -10.322 0.000
2.095 10.322 0.000
0.000 0.000 4.062
Fe Pd Rh
7 2 3
Direct
0.000 0.000 0.000 Fe
0.073 0.927 0.500 Fe
0.279 0.721 0.000 Fe
0.427 0.573 0.000 Fe
0.573 0.427 0.000 Fe
0.721 0.279 0.000 Fe
0.927 0.073 0.500 Fe
0.151 0.849 0.000 Pd
0.849 0.151 0.000 Pd
0.350 0.650 0.500 Rh
0.500 0.500 0.500 Rh
0.650 0.350 0.500 Rh
```



No. 10
# FeSiTc2

A relaxed FeSiTc2 crystal (GGA-PBE, Alexandria via LeMat-Bulk).

Output
* formation energy (no corrections): -8 kJ per mole of atoms

Structure (POSCAR):
```
FeSiTc2
1.0
-1.527 2.095 4.108
1.527 -2.095 4.108
1.527 2.095 -4.108
Fe Si Tc
1 1 2
Direct
0.000 0.000 0.000 Fe
0.500 0.500 0.000 Si
0.262 0.762 0.500 Tc
0.738 0.238 0.500 Tc
```



No. 11
# PaGaRh

A relaxed PaGaRh crystal (GGA-PBE, Alexandria via LeMat-Bulk).

Output
* ΔE_f: -0.71 eV/atom

Structure (POSCAR):
```
PaGaRh
1.0
13.006 0.000 0.000
0.000 3.710 0.000
0.000 0.000 7.292
Pa Ga Rh
6 6 6
Direct
0.048 0.000 0.245 Pa
0.250 0.000 0.852 Pa
0.452 0.000 0.245 Pa
0.548 0.000 0.755 Pa
0.750 0.000 0.148 Pa
0.952 0.000 0.755 Pa
0.121 0.500 0.565 Ga
0.250 0.500 0.197 Ga
0.379 0.500 0.565 Ga
0.621 0.500 0.435 Ga
0.750 0.500 0.803 Ga
0.879 0.500 0.435 Ga
0.100 0.500 0.928 Rh
0.250 0.000 0.449 Rh
0.400 0.500 0.928 Rh
0.600 0.500 0.072 Rh
0.750 0.000 0.551 Rh
0.900 0.500 0.072 Rh
```



No. 12
# SrAl2Ni

A relaxed SrAl2Ni crystal (GGA-PBE, Alexandria via LeMat-Bulk).

Output
* ΔE_f: -0.38 eV/atom

Structure (POSCAR):
```
SrAl2Ni
1.0
15.436 0.000 0.000
0.000 7.108 0.000
0.000 0.000 5.955
Sr Al Ni
8 16 8
Direct
0.101 0.250 0.185 Sr
0.130 0.750 0.014 Sr
0.370 0.250 0.514 Sr
0.399 0.750 0.685 Sr
0.601 0.250 0.315 Sr
0.630 0.750 0.486 Sr
0.870 0.250 0.986 Sr
0.899 0.750 0.815 Sr
0.052 0.064 0.667 Al
0.052 0.436 0.667 Al
0.209 0.557 0.513 Al
0.209 0.943 0.513 Al
0.291 0.057 0.013 Al
0.291 0.443 0.013 Al
0.448 0.564 0.167 Al
0.448 0.936 0.167 Al
0.552 0.064 0.833 Al
0.552 0.436 0.833 Al
0.709 0.557 0.987 Al
0.709 0.943 0.987 Al
0.791 0.057 0.487 Al
0.791 0.443 0.487 Al
0.948 0.564 0.333 Al
0.948 0.936 0.333 Al
0.071 0.750 0.503 Ni
0.192 0.250 0.738 Ni
0.308 0.750 0.238 Ni
0.429 0.250 0.003 Ni
0.571 0.750 0.997 Ni
0.692 0.250 0.762 Ni
0.808 0.750 0.262 Ni
0.929 0.250 0.497 Ni
```